Entry 1:
The following is a DFT calculation (PBE) of an optimized crystal structure of KCr2Ni.

Structure (POSCAR):
```
KCr2Ni
1.0
4.976 0.000 0.000
0.000 3.547 0.000
0.000 0.000 3.547
K Cr Ni
1 2 1
Cartesian
2.488 1.773 0.000
0.000 1.773 1.773
0.000 0.000 0.000
2.488 0.000 1.773
```

Results
* calculated formation energy: 1.673 eV per atom
* DFT total energy: -4.859 eV/atom
* E above lowest polymorph: 0.998 eV per atom

=====

Entry 2:
The following is a DFT calculation (PBE) of an optimized crystal structure of KCr2Ni.

Structure (POSCAR):
```
KCr2Ni
1.0
-5.306 1.692 2.061
-2.239 -1.590 5.265
3.775 2.708 -3.699
Cr K Ni
2 1 1
Cartesian
-0.330 0.004 0.321
-3.442 0.046 3.342
-2.652 2.225 1.013
-1.118 0.584 2.615
```

Results
* calculated formation energy: 1.154 eV per atom
* DFT total energy: -5.378 eV/atom
* E above lowest polymorph: 0.478 eV per atom

=====

Entry 3:
The following is a DFT calculation (PBE) of an optimized crystal structure of KCr2Ni.

Structure (POSCAR):
```
KCr2Ni
1.0
4.641 -0.001 -0.001
3.757 2.725 -0.001
0.581 0.188 6.489
Cr Ni K
2 1 1
Cartesian
4.649 1.508 2.293
8.237 2.672 0.948
2.244 0.728 1.622
6.733 2.184 4.865
```

Results
* calculated formation energy: 0.828 eV per atom
* DFT total energy: -5.703 eV/atom
* E above lowest polymorph: 0.153 eV per atom

=====

Entry 4:
The following is a DFT calculation (PBE) of an optimized crystal structure of KCr2Ni.

Structure (POSCAR):
```
KCr2Ni
1.0
-0.406 -3.295 -2.812
-2.610 -3.352 0.939
-3.718 -0.543 -2.193
K Cr Ni
1 2 1
Cartesian
0.000 0.000 0.000
-5.050 -5.392 -3.050
-1.683 -1.797 -1.017
-3.367 -3.595 -2.033
```

Results
* calculated formation energy: 1.824 eV per atom
* DFT total energy: -4.708 eV/atom
* E above lowest polymorph: 1.149 eV per atom